(1)
Material: SrCdTc2
Method: DFT, PBE
State: optimized geometry

Energy relative to the elements (eV/atom): 0.90
Space-group type: Cmmm, No. 65

extended XYZ file:
```
4
Lattice="1.854 -2.123 0.000 1.854 2.123 0.000 0.000 0.000 9.807" Properties=species:S:1:pos:R:3 pbc="T T T"
Sr 0.000 0.000 0.000
Cd 0.000 0.000 4.903
Tc 1.854 0.000 2.653
Tc 1.854 0.000 7.154
```



(2)
Material: SrCdTc2
Method: DFT, PBE
State: optimized geometry

Energy relative to the elements (eV/atom): 0.72
Space-group type: P4/mmm, No. 123

extended XYZ file:
```
4
Lattice="3.654 0.000 0.000 0.000 3.654 0.000 0.000 0.000 6.858" Properties=species:S:1:pos:R:3 pbc="T T T"
Sr 0.000 0.000 0.000
Cd 0.000 0.000 3.429
Tc 1.827 1.827 2.300
Tc 1.827 1.827 4.558
```



(3)
Material: SrCdTc2
Method: DFT, PBE
State: optimized geometry

Energy relative to the elements (eV/atom): 0.26
Space-group type: P4mm, No. 99

extended XYZ file:
```
4
Lattice="3.191 0.000 0.000 0.000 3.191 0.000 0.000 0.000 8.269" Properties=species:S:1:pos:R:3 pbc="T T T"
Sr 0.000 0.000 0.000
Cd 1.596 1.596 5.576
Tc 0.000 0.000 3.617
Tc 1.596 1.596 2.403
```



(4)
Material: SrCdTc
Method: DFT, PBE
State: optimized geometry

Energy relative to the elements (eV/atom): 0.66
Offset from the most stable computed form (meV/atom): 70
Space-group type: P3m1, No. 156

extended XYZ file:
```
3
Lattice="5.150 0.000 0.000 -2.575 4.460 0.000 0.000 0.000 2.982" Properties=species:S:1:pos:R:3 pbc="T T T"
Sr 0.000 0.000 0.000
Cd 0.000 2.974 1.481
Tc 2.575 1.487 1.501
```



(5)
Material: SrCdTc2
Method: DFT, PBE
State: optimized geometry

Energy relative to the elements (eV/atom): 0.76
Space-group type: F-43m, No. 216

extended XYZ file:
```
4
Lattice="0.000 3.404 3.404 3.404 0.000 3.404 3.404 3.404 0.000" Properties=species:S:1:pos:R:3 pbc="T T T"
Sr 0.000 0.000 0.000
Cd 5.105 5.105 5.105
Tc 1.702 1.702 1.702
Tc 3.404 3.404 3.404
```



(6)
Material: SrCdTc
Method: DFT, PBE
State: optimized geometry

Energy relative to the elements (eV/atom): 1.35
Offset from the most stable computed form (meV/atom): 763
Space-group type: F-43m, No. 216

extended XYZ file:
```
3
Lattice="0.000 3.640 3.640 3.640 0.000 3.640 3.640 3.640 0.000" Properties=species:S:1:pos:R:3 pbc="T T T"
Sr 0.000 0.000 0.000
Cd 5.461 5.461 5.461
Tc 1.820 1.820 1.820
```



(7)
Material: SrCdTc2
Method: DFT, PBE
State: optimized geometry

Energy relative to the elements (eV/atom): 0.91
Space-group type: Immm, No. 71

extended XYZ file:
```
4
Lattice="-1.651 2.396 5.072 1.651 -2.396 5.072 1.651 2.396 -5.072" Properties=species:S:1:pos:R:3 pbc="T T T"
Sr 0.000 0.000 0.000
Cd 0.000 0.000 5.072
Tc 1.651 0.000 2.675
Tc 0.000 2.396 2.397
```



(8)
Material: SrVCdTc2
Method: DFT, PBE
State: optimized geometry

Energy relative to the elements (eV/atom): 2.28
Space-group type: P4/mmm, No. 123

extended XYZ file:
```
5
Lattice="5.066 0.000 0.000 0.000 5.066 0.000 0.000 0.000 5.481" Properties=species:S:1:pos:R:3 pbc="T T T"
Sr 0.000 0.000 0.000
V 2.533 2.533 0.000
Cd 0.000 0.000 2.741
Tc 0.000 2.533 2.741
Tc 2.533 0.000 2.741
```



(9)
Material: Sr2CdTe2
Method: DFT, PBE
State: optimized geometry

Offset from the most stable computed form (meV/atom): 25
ΔE_f (raw) (eV/atom): -1.125
Space-group type: P4/mbm, No. 127

extended XYZ file:
```
10
Lattice="9.068 0.000 0.000 0.000 9.068 0.000 0.000 0.000 4.237" Properties=species:S:1:pos:R:3 pbc="T T T"
Sr 1.393 3.141 0.000
Sr 3.141 7.675 0.000
Sr 5.927 1.393 0.000
Sr 7.675 5.927 0.000
Cd 0.000 0.000 2.118
Cd 4.534 4.534 2.118
Te 1.360 5.894 2.118
Te 3.174 1.360 2.118
Te 5.894 7.708 2.118
Te 7.708 3.174 2.118
```



(10)
Material: Sr2Cd2Te
Method: DFT, PBE
State: optimized geometry

Offset from the most stable computed form (meV/atom): 401
ΔE_f (raw) (eV/atom): -0.299
Space-group type: I4/mmm, No. 139

extended XYZ file:
```
5
Lattice="-3.134 3.134 4.760 3.134 -3.134 4.760 3.134 3.134 -4.760" Properties=species:S:1:pos:R:3 pbc="T T T"
Sr 3.134 0.000 2.380
Sr 0.000 3.134 2.380
Cd 0.000 0.000 1.379
Cd 0.000 0.000 8.141
Te 0.000 0.000 4.760
```



(11)
Material: Sr2Cd2Te
Method: DFT, PBE
State: optimized geometry

Offset from the most stable computed form (meV/atom): 181
ΔE_f (raw) (eV/atom): -0.520
Space-group type: P4/mbm, No. 127

extended XYZ file:
```
10
Lattice="8.801 0.000 0.000 0.000 8.801 0.000 0.000 0.000 4.943" Properties=species:S:1:pos:R:3 pbc="T T T"
Sr 1.597 2.803 0.000
Sr 2.803 7.203 0.000
Sr 5.998 1.597 0.000
Sr 7.203 5.998 0.000
Cd 1.045 5.445 2.471
Cd 3.356 1.045 2.471
Cd 5.445 7.756 2.471
Cd 7.756 3.356 2.471
Te 0.000 0.000 0.000
Te 4.400 4.400 0.000
```



(12)
Material: Sr4CdTe
Method: DFT, PBE
State: optimized geometry

ΔE_f (raw) (eV/atom): 0.090
Space-group type: F-43m, No. 216

extended XYZ file:
```
6
Lattice="0.000 5.106 5.106 5.106 0.000 5.106 5.106 5.106 0.000" Properties=species:S:1:pos:R:3 pbc="T T T"
Sr 1.274 1.274 1.274
Sr 3.833 3.833 1.274
Sr 3.833 1.274 3.833
Sr 1.274 3.833 3.833
Cd 5.106 5.106 5.106
Te 7.659 7.659 7.659
```



(13)
Material: Sr2Cd2Te
Method: DFT, PBE
State: optimized geometry

Offset from the most stable computed form (meV/atom): 0
ΔE_f (raw) (eV/atom): -0.700
Space-group type: I4/mmm, No. 139

extended XYZ file:
```
5
Lattice="-2.089 2.089 9.638 2.089 -2.089 9.638 2.089 2.089 -9.638" Properties=species:S:1:pos:R:3 pbc="T T T"
Sr 0.000 0.000 1.922
Sr 0.000 0.000 17.353
Cd 2.089 0.000 4.819
Cd 0.000 2.089 4.819
Te 0.000 0.000 9.638
```



(14)
Material: Sr2CdTe3
Method: DFT, PBE
State: optimized geometry

ΔE_f (raw) (eV/atom): -1.234
Space-group type: Pnma, No. 62

extended XYZ file:
```
24
Lattice="9.661 0.000 0.000 0.000 4.633 0.000 0.000 0.000 18.879" Properties=species:S:1:pos:R:3 pbc="T T T"
Sr 0.634 1.158 4.074
Sr 2.360 1.158 18.273
Sr 2.471 3.475 8.833
Sr 4.196 3.475 13.514
Sr 5.465 1.158 5.365
Sr 7.190 1.158 10.046
Sr 7.301 3.475 0.606
Sr 9.026 3.475 14.805
Cd 1.226 1.158 12.032
Cd 3.605 3.475 2.592
Cd 6.056 1.158 16.286
Cd 8.435 3.475 6.847
Te 0.221 1.158 7.668
Te 1.047 3.475 1.369
Te 1.942 1.158 14.769
Te 2.888 3.475 5.330
Te 3.784 1.158 10.808
Te 4.609 3.475 17.108
Te 5.051 1.158 1.771
Te 5.877 3.475 8.071
Te 6.773 1.158 13.549
Te 7.718 3.475 4.109
Te 8.614 1.158 17.510
Te 9.439 3.475 11.211
```



(15)
Material: Sr2CdTe2
Method: DFT, PBE
State: optimized geometry

Offset from the most stable computed form (meV/atom): 163
ΔE_f (raw) (eV/atom): -0.987
Space-group type: I4/mmm, No. 139

extended XYZ file:
```
5
Lattice="-3.020 3.020 6.590 3.020 -3.020 6.590 3.020 3.020 -6.590" Properties=species:S:1:pos:R:3 pbc="T T T"
Sr 3.020 0.000 3.295
Sr 0.000 3.020 3.295
Cd 0.000 0.000 0.000
Te 0.000 0.000 4.469
Te 0.000 0.000 8.710
```



(16)
Material: Sr2Cd2Te
Method: DFT, PBE
State: optimized geometry

Offset from the most stable computed form (meV/atom): 163
ΔE_f (raw) (eV/atom): -0.537
Space-group type: P4/mbm, No. 127

extended XYZ file:
```
10
Lattice="8.562 0.000 0.000 0.000 8.562 0.000 0.000 0.000 4.553" Properties=species:S:1:pos:R:3 pbc="T T T"
Sr 1.519 2.762 0.000
Sr 2.762 7.043 0.000
Sr 5.800 1.519 0.000
Sr 7.043 5.800 0.000
Cd 1.032 5.313 2.277
Cd 3.249 1.032 2.277
Cd 5.313 7.530 2.277
Cd 7.530 3.249 2.277
Te 0.000 0.000 2.277
Te 4.281 4.281 2.277
```



(17)
Material: Sr2CdTe2
Method: DFT, PBE
State: optimized geometry

Offset from the most stable computed form (meV/atom): 0
ΔE_f (raw) (eV/atom): -1.151
Space-group type: P4/mbm, No. 127

extended XYZ file:
```
10
Lattice="9.126 0.000 0.000 0.000 9.126 0.000 0.000 0.000 4.244" Properties=species:S:1:pos:R:3 pbc="T T T"
Sr 1.341 3.222 0.000
Sr 3.222 7.785 0.000
Sr 5.904 1.341 0.000
Sr 7.785 5.904 0.000
Cd 0.000 0.000 0.000
Cd 4.563 4.563 0.000
Te 1.415 5.978 2.122
Te 3.148 1.415 2.122
Te 5.978 7.711 2.122
Te 7.711 3.148 2.122
```



(18)
Material: Sr2ThCdTe5
Method: DFT, PBE
State: optimized geometry

ΔE_f (raw) (eV/atom): -1.234
Space-group type: Cmc2_1, No. 36

extended XYZ file:
```
18
Lattice="2.283 -9.910 0.000 2.283 9.910 0.000 0.000 0.000 14.157" Properties=species:S:1:pos:R:3 pbc="T T T"
Sr 2.283 7.771 7.079
Sr 2.283 7.482 1.973
Sr 2.283 -7.482 9.051
Sr 2.283 -7.771 0.000
Th 2.283 5.808 11.899
Th 2.283 -5.808 4.821
Cd 2.283 1.087 3.805
Cd 2.283 -1.087 10.884
Te 2.283 8.876 12.565
Te 2.283 4.241 6.983
Te 2.283 3.892 2.628
Te 2.283 2.717 11.679
Te 2.283 0.041 8.361
Te 2.283 -0.041 1.283
Te 2.283 -2.717 4.601
Te 2.283 -3.892 9.706
Te 2.283 -4.241 14.062
Te 2.283 -8.876 5.487
```



(19)
Material: Sr2UCdTe5
Method: DFT, PBE
State: optimized geometry

ΔE_f (raw) (eV/atom): -1.039
Space-group type: Cmc2_1, No. 36

extended XYZ file:
```
18
Lattice="2.263 -9.815 0.000 2.263 9.815 0.000 0.000 0.000 14.064" Properties=species:S:1:pos:R:3 pbc="T T T"
Sr 2.263 7.648 7.032
Sr 2.263 7.387 1.897
Sr 2.263 -7.387 8.929
Sr 2.263 -7.648 0.000
U 2.263 5.754 11.777
U 2.263 -5.754 4.745
Cd 2.263 1.130 3.709
Cd 2.263 -1.130 10.741
Te 2.263 8.749 12.430
Te 2.263 4.168 6.827
Te 2.263 3.905 2.604
Te 2.263 2.727 11.562
Te 2.263 0.040 8.241
Te 2.263 -0.040 1.209
Te 2.263 -2.727 4.530
Te 2.263 -3.905 9.635
Te 2.263 -4.168 13.859
Te 2.263 -8.749 5.398
```



(20)
Material: Sr2ThCd
Method: DFT, PBE
State: optimized geometry

Energy relative to the elements (eV/atom): 0.29
Space-group type: R-3m, No. 166

extended XYZ file:
```
4
Lattice="1.842 1.064 12.780 -1.842 1.064 12.780 0.000 -2.127 12.780" Properties=species:S:1:pos:R:3 pbc="T T T"
Sr 0.000 0.000 3.663
Sr 0.000 0.000 34.676
Th 0.000 0.000 0.000
Cd 0.000 0.000 19.169
```



| no. | energy (eV/atom) |
| --- | --- |
| 1 | -4.93 |
| 2 | -5.11 |
| 3 | -5.57 |
| 4 | -3.66 |
| 5 | -5.08 |
| 6 | -2.97 |
| 7 | -4.92 |
| 8 | -4.21 |
| 9 | -3.24 |
| 10 | -1.97 |
| 11 | -2.19 |
| 12 | -1.71 |
| 13 | -2.37 |
| 14 | -3.52 |
| 15 | -3.10 |
| 16 | -2.20 |
| 17 | -3.26 |
| 18 | -4.28 |
| 19 | -4.51 |
| 20 | -2.63 |